i.
# PBE NaH4Rh2, optimized geometry
# space group: No. 227
# size of the total moment: 0.00 μB per atom
data_NaH4Rh2
_cell_length_a 5.7228
_cell_length_b 5.7228
_cell_length_c 5.7251
_cell_angle_alpha 119.99
_cell_angle_beta 119.99
_cell_angle_gamma 89.99
_symmetry_space_group_name_H-M 'P 1'
_symmetry_Int_Tables_number 1
loop_
_symmetry_equiv_pos_as_xyz
'x,y,z'
loop_
_atom_site_label
_atom_site_type_symbol
_atom_site_fract_x
_atom_site_fract_y
_atom_site_fract_z
_atom_site_occupancy
H1 H 0.4027 0.5984 0.8053 1
Na1 Na 0.2500 0.7501 0.5000 1
H2 H 0.8474 0.5430 0.6947 1
Rh1 Rh 0.6250 0.3750 0.7500 1
Na2 Na 0.0000 0.9999 0.0000 1
H3 H 0.4570 0.1526 0.3053 1
H4 H 0.7930 0.5974 0.1947 1
H5 H 0.4016 0.5973 0.1947 1
H6 H 0.8474 0.1516 0.6947 1
H7 H 0.8484 0.1527 0.3053 1
Rh2 Rh 0.6250 0.3750 0.2500 1
H8 H 0.4026 0.2070 0.8053 1
Rh3 Rh 0.1250 0.3750 0.7500 1
Rh4 Rh 0.6250 0.8750 0.2500 1

ii.
# PBE NaH4Rh2, optimized geometry
# space group: No. 88
# size of the total moment: 0.00 μB per atom
data_NaH4Rh2
_cell_length_a 5.6075
_cell_length_b 5.6075
_cell_length_c 5.7526
_cell_angle_alpha 119.17
_cell_angle_beta 119.17
_cell_angle_gamma 90.00
_symmetry_space_group_name_H-M 'P 1'
_symmetry_Int_Tables_number 1
loop_
_symmetry_equiv_pos_as_xyz
'x,y,z'
loop_
_atom_site_label
_atom_site_type_symbol
_atom_site_fract_x
_atom_site_fract_y
_atom_site_fract_z
_atom_site_occupancy
Rh1 Rh 0.1250 0.8750 0.7500 1
Na1 Na 0.5000 0.5000 0.0000 1
H1 H 0.7737 0.2134 0.0926 1
Rh2 Rh 0.1250 0.8750 0.2500 1
H2 H 0.4763 0.5366 0.4074 1
H3 H 0.1291 0.5237 0.5926 1
H4 H 0.4634 0.0689 0.5926 1
H5 H 0.1209 0.2263 0.9074 1
H6 H 0.3189 0.8791 0.0926 1
Rh3 Rh 0.1250 0.3750 0.2500 1
H7 H 0.9311 0.8709 0.4074 1
H8 H 0.7866 0.6811 0.9074 1
Na2 Na 0.7500 0.2500 0.5000 1
Rh4 Rh 0.6250 0.8750 0.7500 1

On energetic grounds, i is preferred over the next structure by 43 meV/atom.

i.
# PBE NaSr2HRh, optimized geometry
# space group: No. 123
# size of the total moment: 0.00 μB per atom
data_NaSr2HRh
_cell_length_a 5.5141
_cell_length_b 5.5141
_cell_length_c 3.8919
_cell_angle_alpha 90.00
_cell_angle_beta 90.00
_cell_angle_gamma 90.00
_symmetry_space_group_name_H-M 'P 1'
_symmetry_Int_Tables_number 1
loop_
_symmetry_equiv_pos_as_xyz
'x,y,z'
loop_
_atom_site_label
_atom_site_type_symbol
_atom_site_fract_x
_atom_site_fract_y
_atom_site_fract_z
_atom_site_occupancy
Rh1 Rh 0.0000 0.0000 0.5000 1
Sr1 Sr 0.5000 0.0000 0.0000 1
H1 H 0.0000 0.0000 0.0000 1
Sr2 Sr 0.0000 0.5000 0.0000 1
Na1 Na 0.5000 0.5000 0.5000 1

ii.
# PBE NaSr2HRh, optimized geometry
# space group: No. 123
# size of the total moment: 0.00 μB per atom
data_NaSr2HRh
_cell_length_a 5.1137
_cell_length_b 5.1137
_cell_length_c 4.3715
_cell_angle_alpha 90.00
_cell_angle_beta 90.00
_cell_angle_gamma 90.00
_symmetry_space_group_name_H-M 'P 1'
_symmetry_Int_Tables_number 1
loop_
_symmetry_equiv_pos_as_xyz
'x,y,z'
loop_
_atom_site_label
_atom_site_type_symbol
_atom_site_fract_x
_atom_site_fract_y
_atom_site_fract_z
_atom_site_occupancy
Na1 Na 0.0000 0.0000 0.5000 1
Sr1 Sr 0.5000 0.0000 0.0000 1
Sr2 Sr 0.0000 0.5000 0.0000 1
H1 H 0.0000 0.0000 0.0000 1
Rh1 Rh 0.5000 0.5000 0.5000 1

On energetic grounds, i is preferred over the next structure by 40 meV/atom.

i.
# PBE NaHRu3, optimized geometry
# space group: No. 221
# size of the total moment: 0.32 μB per atom
data_NaHRu3
_cell_length_a 3.9693
_cell_length_b 3.9693
_cell_length_c 3.9693
_cell_angle_alpha 90.00
_cell_angle_beta 90.00
_cell_angle_gamma 90.00
_symmetry_space_group_name_H-M 'P 1'
_symmetry_Int_Tables_number 1
loop_
_symmetry_equiv_pos_as_xyz
'x,y,z'
loop_
_atom_site_label
_atom_site_type_symbol
_atom_site_fract_x
_atom_site_fract_y
_atom_site_fract_z
_atom_site_occupancy
Na1 Na 0.5000 0.5000 0.5000 1
Ru1 Ru 0.0000 0.0000 0.5000 1
Ru2 Ru 0.5000 0.0000 0.0000 1
H1 H 0.0000 0.0000 0.0000 1
Ru3 Ru 0.0000 0.5000 0.0000 1

ii.
# PBE NaHRu3, optimized geometry
# space group: No. 221
# size of the total moment: 1.54 μB per atom
data_NaHRu3
_cell_length_a 4.6740
_cell_length_b 4.6740
_cell_length_c 4.6740
_cell_angle_alpha 90.00
_cell_angle_beta 90.00
_cell_angle_gamma 90.00
_symmetry_space_group_name_H-M 'P 1'
_symmetry_Int_Tables_number 1
loop_
_symmetry_equiv_pos_as_xyz
'x,y,z'
loop_
_atom_site_label
_atom_site_type_symbol
_atom_site_fract_x
_atom_site_fract_y
_atom_site_fract_z
_atom_site_occupancy
H1 H 0.5000 0.5000 0.5000 1
Ru1 Ru 0.5000 0.0000 0.0000 1
Na1 Na 0.0000 0.0000 0.0000 1
Ru2 Ru 0.0000 0.0000 0.5000 1
Ru3 Ru 0.0000 0.5000 0.0000 1

On energetic grounds, i is preferred over the next structure by 2323 meV/atom.

i.
# PBE NaH3Ru, optimized geometry
# space group: No. 12
# size of the total moment: 0.00 μB per atom
data_NaH3Ru
_cell_length_a 3.2441
_cell_length_b 5.1486
_cell_length_c 5.8517
_cell_angle_alpha 96.81
_cell_angle_beta 90.00
_cell_angle_gamma 108.36
_symmetry_space_group_name_H-M 'P 1'
_symmetry_Int_Tables_number 1
loop_
_symmetry_equiv_pos_as_xyz
'x,y,z'
loop_
_atom_site_label
_atom_site_type_symbol
_atom_site_fract_x
_atom_site_fract_y
_atom_site_fract_z
_atom_site_occupancy
H1 H 0.8323 0.6645 0.3518 1
Na1 Na 0.3833 0.7666 0.6143 1
Ru1 Ru 0.8690 0.7380 0.0868 1
H2 H 0.0406 0.0813 0.1847 1
H3 H 0.9594 0.9187 0.8153 1
H4 H 0.1677 0.3355 0.6482 1
Ru2 Ru 0.1310 0.2620 0.9132 1
H5 H 0.3019 0.6038 0.1373 1
H6 H 0.6981 0.3962 0.8627 1
Na2 Na 0.6167 0.2334 0.3857 1

ii.
# PBE NaH3Ru, optimized geometry
# space group: No. 221
# size of the total moment: 0.00 μB per atom
data_NaH3Ru
_cell_length_a 3.4573
_cell_length_b 3.4573
_cell_length_c 3.4573
_cell_angle_alpha 90.00
_cell_angle_beta 90.00
_cell_angle_gamma 90.00
_symmetry_space_group_name_H-M 'P 1'
_symmetry_Int_Tables_number 1
loop_
_symmetry_equiv_pos_as_xyz
'x,y,z'
loop_
_atom_site_label
_atom_site_type_symbol
_atom_site_fract_x
_atom_site_fract_y
_atom_site_fract_z
_atom_site_occupancy
Ru1 Ru 0.5000 0.5000 0.5000 1
H1 H 0.0000 0.0000 0.5000 1
H2 H 0.5000 0.0000 0.0000 1
H3 H 0.0000 0.5000 0.0000 1
Na1 Na 0.0000 0.0000 0.0000 1

On energetic grounds, i is preferred over the next structure by 1085 meV/atom.

i.
# PBE NaHS2, optimized geometry
# space group: No. 122
# size of the total moment: 0.00 μB per atom
data_NaHS2
_cell_length_a 4.7796
_cell_length_b 4.7796
_cell_length_c 7.0237
_cell_angle_alpha 70.11
_cell_angle_beta 70.11
_cell_angle_gamma 90.00
_symmetry_space_group_name_H-M 'P 1'
_symmetry_Int_Tables_number 1
loop_
_symmetry_equiv_pos_as_xyz
'x,y,z'
loop_
_atom_site_label
_atom_site_type_symbol
_atom_site_fract_x
_atom_site_fract_y
_atom_site_fract_z
_atom_site_occupancy
H1 H 0.5000 0.5000 0.0000 1
S1 S 0.3750 0.6109 0.7500 1
S2 S 0.8750 0.6391 0.7500 1
Na1 Na 0.0000 0.0000 0.0000 1
S3 S 0.3891 0.1250 0.2500 1
H2 H 0.2500 0.7500 0.5000 1
Na2 Na 0.7500 0.2500 0.5000 1
S4 S 0.3609 0.6250 0.2500 1

ii.
# PBE NaHS2, optimized geometry
# space group: No. 225
# size of the total moment: 0.02 μB per atom
data_NaHS2
_cell_length_a 4.4500
_cell_length_b 4.4500
_cell_length_c 4.4500
_cell_angle_alpha 60.00
_cell_angle_beta 60.00
_cell_angle_gamma 60.00
_symmetry_space_group_name_H-M 'P 1'
_symmetry_Int_Tables_number 1
loop_
_symmetry_equiv_pos_as_xyz
'x,y,z'
loop_
_atom_site_label
_atom_site_type_symbol
_atom_site_fract_x
_atom_site_fract_y
_atom_site_fract_z
_atom_site_occupancy
Na1 Na 0.5000 0.5000 0.5000 1
H1 H 0.0000 0.0000 0.0000 1
S1 S 0.7500 0.7500 0.7500 1
S2 S 0.2500 0.2500 0.2500 1

On energetic grounds, i is preferred over the next structure by 706 meV/atom.

i.
# PBE Na2HS, optimized geometry
# space group: No. 122
# size of the total moment: 0.00 μB per atom
data_Na2HS
_cell_length_a 7.2058
_cell_length_b 7.2058
_cell_length_c 5.6903
_cell_angle_alpha 50.72
_cell_angle_beta 50.72
_cell_angle_gamma 90.00
_symmetry_space_group_name_H-M 'P 1'
_symmetry_Int_Tables_number 1
loop_
_symmetry_equiv_pos_as_xyz
'x,y,z'
loop_
_atom_site_label
_atom_site_type_symbol
_atom_site_fract_x
_atom_site_fract_y
_atom_site_fract_z
_atom_site_occupancy
Na1 Na 0.3750 0.4523 0.7500 1
S1 S 0.7500 0.2500 0.5000 1
Na2 Na 0.5477 0.1250 0.2500 1
S2 S 0.0000 0.0000 0.0000 1
Na3 Na 0.2023 0.6250 0.2500 1
H1 H 0.2500 0.7500 0.5000 1
Na4 Na 0.8750 0.7977 0.7500 1
H2 H 0.5000 0.5000 0.0000 1

ii.
# PBE Na2HS, optimized geometry
# space group: No. 63
# size of the total moment: 0.00 μB per atom
data_Na2HS
_cell_length_a 3.8962
_cell_length_b 6.9137
_cell_length_c 7.3934
_cell_angle_alpha 90.00
_cell_angle_beta 90.00
_cell_angle_gamma 106.37
_symmetry_space_group_name_H-M 'P 1'
_symmetry_Int_Tables_number 1
loop_
_symmetry_equiv_pos_as_xyz
'x,y,z'
loop_
_atom_site_label
_atom_site_type_symbol
_atom_site_fract_x
_atom_site_fract_y
_atom_site_fract_z
_atom_site_occupancy
S1 S 0.9579 0.9158 0.7500 1
S2 S 0.0421 0.0842 0.2500 1
Na1 Na 0.3738 0.7476 0.5118 1
Na2 Na 0.6262 0.2524 0.0118 1
Na3 Na 0.6262 0.2524 0.4882 1
H1 H 0.0620 0.1239 0.7500 1
H2 H 0.9380 0.8761 0.2500 1
Na4 Na 0.3738 0.7476 0.9882 1

On energetic grounds, ii is preferred over the next structure by 163 meV/atom.